# VAgAu2 (PBE, relaxed)
# Total magnetic moment   12.33 μB/cell
# Energy of formation   393 meV per atom
data_VAgAu2
_cell_length_a 7.429
_cell_length_b 7.429
_cell_length_c 5.574
_cell_angle_alpha 90.00
_cell_angle_beta 90.00
_cell_angle_gamma 90.00
_space_group_name_H-M_alt 'I -4 2 d'
_space_group_IT_number 122
_space_group_name_Hall 'I -4 2bw'
loop_
_atom_site_label
_atom_site_type_symbol
_atom_site_fract_x
_atom_site_fract_y
_atom_site_fract_z
V1 V 0.000 0.000 0.000
Ag1 Ag 0.000 0.000 0.500
Au1 Au 0.238 0.250 0.125

---

# SiTcBi3 (PBE, relaxed)
# Total magnetic moment   3.11 μB/cell
# ΔE to the lowest computed polymorph   0.453 eV/atom
# ΔE_f (raw)   1.307 eV per atom
data_SiTcBi3
_cell_length_a 5.346
_cell_length_b 5.346
_cell_length_c 5.346
_cell_angle_alpha 90.00
_cell_angle_beta 90.00
_cell_angle_gamma 90.00
_space_group_name_H-M_alt 'P m -3 m'
_space_group_IT_number 221
_space_group_name_Hall '-P 4 2 3'
loop_
_atom_site_label
_atom_site_type_symbol
_atom_site_fract_x
_atom_site_fract_y
_atom_site_fract_z
Si1 Si 0.000 0.000 0.000
Tc1 Tc 0.500 0.500 0.500
Bi1 Bi 0.000 0.000 0.500

---

# Ba2NpAs3 (PBE, relaxed)
# Total magnetic moment   8.55 μB/cell
# Energy of formation   -748 meV per atom
data_Ba2NpAs3
_cell_length_a 6.358
_cell_length_b 6.365
_cell_length_c 19.259
_cell_angle_alpha 90.00
_cell_angle_beta 90.00
_cell_angle_gamma 90.00
_space_group_name_H-M_alt 'F m m m'
_space_group_IT_number 69
_space_group_name_Hall '-F 2 2'
loop_
_atom_site_label
_atom_site_type_symbol
_atom_site_fract_x
_atom_site_fract_y
_atom_site_fract_z
Ba1 Ba 0.000 0.000 0.169
Np1 Np 0.000 0.000 0.500
As1 As 0.000 0.000 0.000
As2 As 0.000 0.000 0.358

---

# MnFe2Co (PBE, relaxed)
# Total magnetic moment   2.68 μB/cell
# Energy of formation   64 meV per atom
data_MnFe2Co
_cell_length_a 2.490
_cell_length_b 2.490
_cell_length_c 7.105
_cell_angle_alpha 90.00
_cell_angle_beta 90.00
_cell_angle_gamma 90.00
_space_group_name_H-M_alt 'P 4/m m m'
_space_group_IT_number 123
_space_group_name_Hall '-P 4 2'
loop_
_atom_site_label
_atom_site_type_symbol
_atom_site_fract_x
_atom_site_fract_y
_atom_site_fract_z
Mn1 Mn 0.000 0.000 0.000
Fe1 Fe 0.500 0.500 0.253
Co1 Co 0.000 0.000 0.500

---

# K2Tm2SnSe6 (PBE, relaxed)
# Total magnetic moment   0.00 μB/cell
# ΔE_f (raw)   -1.345 eV per atom
data_K2Tm2SnSe6
_cell_length_a 7.044
_cell_length_b 12.209
_cell_length_c 8.269
_cell_angle_alpha 90.00
_cell_angle_beta 106.63
_cell_angle_gamma 90.00
_space_group_name_H-M_alt 'C 1 2/m 1'
_space_group_IT_number 12
loop_
_space_group_symop_operation_xyz
'x,y,z'
'-x,-y,-z'
'-x,y,-z'
'x,-y,z'
'x+1/2,y+1/2,z'
'-x+1/2,-y+1/2,-z'
'-x+1/2,y+1/2,-z'
'x+1/2,-y+1/2,z'
loop_
_atom_site_label
_atom_site_type_symbol
_atom_site_fract_x
_atom_site_fract_y
_atom_site_fract_z
K1 K 0.000 0.168 0.000
Tm1 Tm 0.000 0.332 0.500
Sn1 Sn 0.000 0.000 0.500
Se1 Se 0.231 0.162 0.699
Se2 Se 0.246 0.500 0.695

---

# ZnIr2Pt (PBE, relaxed)
# Total magnetic moment   0.00 μB/cell
# Energy of formation   306 meV per atom
data_ZnIr2Pt
_cell_length_a 3.734
_cell_length_b 3.734
_cell_length_c 18.414
_cell_angle_alpha 90.00
_cell_angle_beta 90.00
_cell_angle_gamma 90.00
_space_group_name_H-M_alt 'I -4 2 d'
_space_group_IT_number 122
_space_group_name_Hall 'I -4 2bw'
loop_
_atom_site_label
_atom_site_type_symbol
_atom_site_fract_x
_atom_site_fract_y
_atom_site_fract_z
Zn1 Zn 0.000 0.000 0.000
Ir1 Ir 0.247 0.250 0.625
Pt1 Pt 0.000 0.000 0.500

---

# BeTlOs (PBE, relaxed)
# Total magnetic moment   0.00 μB/cell
# ΔE to the lowest computed polymorph   0.330 eV/atom
# Energy of formation   783 meV per atom
data_BeTlOs
_cell_length_a 3.309
_cell_length_b 4.687
_cell_length_c 13.127
_cell_angle_alpha 90.00
_cell_angle_beta 90.00
_cell_angle_gamma 90.00
_space_group_name_H-M_alt 'F m m 2'
_space_group_IT_number 42
_space_group_name_Hall 'F 2 -2'
loop_
_atom_site_label
_atom_site_type_symbol
_atom_site_fract_x
_atom_site_fract_y
_atom_site_fract_z
Be1 Be 0.000 0.000 0.000
Tl1 Tl 0.000 0.000 0.692
Os1 Os 0.000 0.000 0.389

---

# K2FeCl (PBE, relaxed)
# Total magnetic moment   6.27 μB/cell
# ΔE to the lowest computed polymorph   0.049 eV/atom
# ΔE_f (raw)   -0.112 eV per atom
data_K2FeCl
_cell_length_a 3.844
_cell_length_b 4.056
_cell_length_c 17.971
_cell_angle_alpha 90.00
_cell_angle_beta 90.00
_cell_angle_gamma 90.00
_space_group_name_H-M_alt 'I m m 2'
_space_group_IT_number 44
loop_
_space_group_symop_operation_xyz
'x,y,z'
'-x,-y,z'
'-x,y,z'
'x,-y,z'
'x+1/2,y+1/2,z+1/2'
'-x+1/2,-y+1/2,z+1/2'
'-x+1/2,y+1/2,z+1/2'
'x+1/2,-y+1/2,z+1/2'
loop_
_atom_site_label
_atom_site_type_symbol
_atom_site_fract_x
_atom_site_fract_y
_atom_site_fract_z
K1 K 0.000 0.000 0.000
K2 K 0.000 0.500 0.218
Fe1 Fe 0.000 0.000 0.379
Cl1 Cl 0.000 0.500 0.638

---

# HfInTe2N (PBE, relaxed)
# Total magnetic moment   0.00 μB/cell
# ΔE to the lowest computed polymorph   0.000 eV/atom
# ΔE_f (raw)   -0.134 eV per atom
data_HfInTe2N
_cell_length_a 5.780
_cell_length_b 5.780
_cell_length_c 4.111
_cell_angle_alpha 90.00
_cell_angle_beta 90.00
_cell_angle_gamma 90.00
_space_group_name_H-M_alt 'P 4/m m m'
_space_group_IT_number 123
_space_group_name_Hall '-P 4 2'
loop_
_atom_site_label
_atom_site_type_symbol
_atom_site_fract_x
_atom_site_fract_y
_atom_site_fract_z
Hf1 Hf 0.000 0.000 0.000
In1 In 0.500 0.500 0.500
Te1 Te 0.000 0.500 0.000
N1 N 0.000 0.000 0.500

---

# MoIrPt (PBE, relaxed)
# Total magnetic moment   0.00 μB/cell
# ΔE to the lowest computed polymorph   0.369 eV/atom
# Energy of formation   66 meV per atom
data_MoIrPt
_cell_length_a 4.177
_cell_length_b 18.228
_cell_length_c 2.741
_cell_angle_alpha 90.00
_cell_angle_beta 90.00
_cell_angle_gamma 90.00
_space_group_name_H-M_alt 'C m c m'
_space_group_IT_number 63
_space_group_name_Hall '-C 2c 2'
loop_
_atom_site_label
_atom_site_type_symbol
_atom_site_fract_x
_atom_site_fract_y
_atom_site_fract_z
Mo1 Mo 0.000 0.205 0.250
Ir1 Ir 0.000 0.350 0.250
Pt1 Pt 0.000 0.062 0.750

---

# Ba2SrAs (PBE, relaxed)
# Total magnetic moment   0.00 μB/cell
# Energy of formation   -609 meV per atom
data_Ba2SrAs
_cell_length_a 4.6535
_cell_length_b 4.6535
_cell_length_c 35.3088
_cell_angle_alpha 90.00
_cell_angle_beta 90.00
_cell_angle_gamma 120.00
_space_group_name_H-M_alt 'R -3 m'
_space_group_IT_number 166
_space_group_name_Hall '-R 3 2"'
loop_
_atom_site_label
_atom_site_type_symbol
_atom_site_fract_x
_atom_site_fract_y
_atom_site_fract_z
Ba1 Ba 0.0000 0.0000 0.2175
Sr1 Sr 0.0000 0.0000 0.0000
As1 As 0.0000 0.0000 0.5000

---

# TbCu2Ni9 (PBE, relaxed)
# Total magnetic moment   7.99 μB/cell
# ΔE to the lowest computed polymorph   0.000 eV/atom
# Energy of formation   -133 meV per atom
data_TbCu2Ni9
_cell_length_a 7.998
_cell_length_b 7.998
_cell_length_c 4.712
_cell_angle_alpha 90.00
_cell_angle_beta 90.00
_cell_angle_gamma 90.00
_space_group_name_H-M_alt 'P 4/m b m'
_space_group_IT_number 127
_space_group_name_Hall '-P 4 2ab'
loop_
_atom_site_label
_atom_site_type_symbol
_atom_site_fract_x
_atom_site_fract_y
_atom_site_fract_z
Tb1 Tb 0.000 0.000 0.000
Cu1 Cu 0.115 0.385 0.000
Ni1 Ni 0.000 0.500 0.500
Ni2 Ni 0.064 0.210 0.500
Ni3 Ni 0.179 0.679 0.240

---

# Ce4Bi8Ru3 (PBE, relaxed)
# Total magnetic moment   1.82 μB/cell
# Energy of formation   -419 meV per atom
data_Ce4Bi8Ru3
_cell_length_a 4.616
_cell_length_b 4.616
_cell_length_c 18.989
_cell_angle_alpha 90.00
_cell_angle_beta 90.00
_cell_angle_gamma 90.00
_space_group_name_H-M_alt 'P -4 m 2'
_space_group_IT_number 115
loop_
_space_group_symop_operation_xyz
'x,y,z'
'y,-x,-z'
'-x,-y,z'
'-y,x,-z'
'-x,y,z'
'-y,-x,-z'
'x,-y,z'
'y,x,-z'
loop_
_atom_site_label
_atom_site_type_symbol
_atom_site_fract_x
_atom_site_fract_y
_atom_site_fract_z
Ce1 Ce 0.000 0.500 0.107
Ce2 Ce 0.000 0.500 0.610
Bi1 Bi 0.000 0.000 0.247
Bi2 Bi 0.000 0.500 0.416
Bi3 Bi 0.000 0.500 0.924
Bi4 Bi 0.500 0.500 0.246
Ru1 Ru 0.000 0.000 0.000
Ru2 Ru 0.000 0.000 0.500
Ru3 Ru 0.500 0.500 0.500

---

# Ba2YO (PBE, relaxed)
# Total magnetic moment   0.44 μB/cell
# ΔE to the lowest computed polymorph   0.000 eV/atom
# ΔE_f (raw)   -0.931 eV per atom
data_Ba2YO
_cell_length_a 3.8181
_cell_length_b 3.8181
_cell_length_c 31.6224
_cell_angle_alpha 90.00
_cell_angle_beta 90.00
_cell_angle_gamma 120.00
_space_group_name_H-M_alt 'R -3 m'
_space_group_IT_number 166
_space_group_name_Hall '-R 3 2"'
loop_
_atom_site_label
_atom_site_type_symbol
_atom_site_fract_x
_atom_site_fract_y
_atom_site_fract_z
Ba1 Ba 0.0000 0.0000 0.1164
Y1 Y 0.0000 0.0000 0.0000
O1 O 0.0000 0.0000 0.5000

---

# KBa2Sr (PBE, relaxed)
# Total magnetic moment   0.00 μB/cell
# ΔE to the lowest computed polymorph   0.004 eV/atom
# Energy of formation   49 meV per atom
data_KBa2Sr
_cell_length_a 4.911
_cell_length_b 7.060
_cell_length_c 14.480
_cell_angle_alpha 90.00
_cell_angle_beta 90.00
_cell_angle_gamma 90.00
_space_group_name_H-M_alt 'C m m 2'
_space_group_IT_number 35
loop_
_space_group_symop_operation_xyz
'x,y,z'
'-x,-y,z'
'-x,y,z'
'x,-y,z'
'x+1/2,y+1/2,z'
'-x+1/2,-y+1/2,z'
'-x+1/2,y+1/2,z'
'x+1/2,-y+1/2,z'
loop_
_atom_site_label
_atom_site_type_symbol
_atom_site_fract_x
_atom_site_fract_y
_atom_site_fract_z
K1 K 0.000 0.000 0.000
Ba1 Ba 0.000 0.000 0.509
Ba2 Ba 0.000 0.500 0.263
Sr1 Sr 0.000 0.500 0.746

---

# Pr3BC3 (PBE, relaxed)
# Total magnetic moment   0.00 μB/cell
# Energy of formation   -45 meV per atom
data_Pr3BC3
_cell_length_a 7.3180
_cell_length_b 7.3180
_cell_length_c 5.4350
_cell_angle_alpha 90.00
_cell_angle_beta 90.00
_cell_angle_gamma 120.00
_space_group_name_H-M_alt 'P 63/m'
_space_group_IT_number 176
_space_group_name_Hall '-P 6c'
loop_
_atom_site_label
_atom_site_type_symbol
_atom_site_fract_x
_atom_site_fract_y
_atom_site_fract_z
Pr1 Pr 0.0649 0.7016 0.2500
B1 B 0.3333 0.6667 0.7500
C1 C 0.1164 0.6882 0.7500

---

# PrErNiAg (PBE, relaxed)
# Total magnetic moment   0.00 μB/cell
# Energy of formation   -251 meV per atom
data_PrErNiAg
_cell_length_a 7.158
_cell_length_b 7.158
_cell_length_c 7.158
_cell_angle_alpha 90.00
_cell_angle_beta 90.00
_cell_angle_gamma 90.00
_space_group_name_H-M_alt 'F -4 3 m'
_space_group_IT_number 216
_space_group_name_Hall 'F -4 2 3'
loop_
_atom_site_label
_atom_site_type_symbol
_atom_site_fract_x
_atom_site_fract_y
_atom_site_fract_z
Pr1 Pr 0.000 0.000 0.000
Er1 Er 0.000 0.000 0.500
Ni1 Ni 0.250 0.250 0.250
Ag1 Ag 0.250 0.250 0.750

---

# Ce2PuPt (PBE, relaxed)
# Total magnetic moment   0.00 μB/cell
# ΔE to the lowest computed polymorph   0.000 eV/atom
# Energy of formation   -578 meV per atom
data_Ce2PuPt
_cell_length_a 5.641
_cell_length_b 4.574
_cell_length_c 7.489
_cell_angle_alpha 90.00
_cell_angle_beta 90.99
_cell_angle_gamma 90.00
_space_group_name_H-M_alt 'P 1 21/m 1'
_space_group_IT_number 11
loop_
_space_group_symop_operation_xyz
'x,y,z'
'-x,-y,-z'
'-x,y+1/2,-z'
'x,-y+1/2,z'
loop_
_atom_site_label
_atom_site_type_symbol
_atom_site_fract_x
_atom_site_fract_y
_atom_site_fract_z
Ce1 Ce 0.103 0.250 0.324
Ce2 Ce 0.344 0.250 0.835
Pu1 Pu 0.479 0.250 0.515
Pt1 Pt 0.163 0.750 0.052

---

# KNa2Fe (PBE, relaxed)
# Total magnetic moment   11.70 μB/cell
# ΔE to the lowest computed polymorph   0.000 eV/atom
# Energy of formation   759 meV per atom
data_KNa2Fe
_cell_length_a 7.979
_cell_length_b 7.979
_cell_length_c 7.979
_cell_angle_alpha 90.00
_cell_angle_beta 90.00
_cell_angle_gamma 90.00
_space_group_name_H-M_alt 'F m -3 m'
_space_group_IT_number 225
_space_group_name_Hall '-F 4 2 3'
loop_
_atom_site_label
_atom_site_type_symbol
_atom_site_fract_x
_atom_site_fract_y
_atom_site_fract_z
K1 K 0.000 0.000 0.000
Na1 Na 0.250 0.250 0.250
Fe1 Fe 0.000 0.000 0.500

---

# KBaNb (PBE, relaxed)
# Total magnetic moment   3.51 μB/cell
# ΔE to the lowest computed polymorph   0.841 eV/atom
# Energy of formation   1244 meV per atom
data_KBaNb
_cell_length_a 6.1983
_cell_length_b 6.1983
_cell_length_c 3.4132
_cell_angle_alpha 90.00
_cell_angle_beta 90.00
_cell_angle_gamma 120.00
_space_group_name_H-M_alt 'P -6 m 2'
_space_group_IT_number 187
_space_group_name_Hall 'P -6 2'
loop_
_atom_site_label
_atom_site_type_symbol
_atom_site_fract_x
_atom_site_fract_y
_atom_site_fract_z
K1 K 0.0000 0.0000 0.0000
Ba1 Ba 0.3333 0.6667 0.5000
Nb1 Nb 0.6667 0.3333 0.5000